Nd3TeC (PBE, optimized geometry); formation energy from raw total energies = -0.426 eV per atom; size of the total moment = 0.00 μB/f.u.; total DFT energy (no corrections) = -5.759 eV/atom; distance to the lowest polymorph of the same formula = 101.8 meV/atom; space group = C2/m
1.0
-4.212 1.165 -5.255
-3.772 -6.795 1.517
0.339 4.449 5.160
Nd Te C
6 2 2
Direct
0.925 0.753 0.341
0.079 0.247 0.158
0.417 0.753 0.341
0.583 0.247 0.659
0.075 0.247 0.659
0.921 0.753 0.842
0.388 0.659 0.777
0.612 0.341 0.223
0.831 0.995 0.662
0.169 0.005 0.338